Entry 1:
# Mn2CuRuN

Crystalline Mn2CuRuN at its relaxed geometry (PBE, the Alexandria database).

Summary:
Space group ... No. 123
Uncorrected formation energy ... -14.3 meV per atom

a = 3.9172 Å, b = 3.9172 Å, c = 3.9511 Å
α = 90.00°, β = 90.00°, γ = 90.00°
Closest atoms and distances in Å follow each position.
Positions (direct):
1 Mn 0.5000 0.0000 0.0000  2 N 1.96
2 Mn 0.0000 0.5000 0.0000  2 N 1.96
3 Ru 0.0000 0.0000 0.5000  2 N 1.98
4 N 0.0000 0.0000 0.0000  4 Mn 1.96, 2 Ru 1.98
5 Cu 0.5000 0.5000 0.5000  4 Ru 2.77, 8 Mn 2.78



Entry 2:
# MnCuSN2

Crystalline MnCuSN2 at its relaxed geometry (PBE, the Alexandria database).

Summary:
Space group ... No. 123
Offset from the most stable computed form ... 728 meV per atom
Uncorrected formation energy ... 1304.9 meV per atom

a = 3.5723 Å, b = 3.5723 Å, c = 6.3614 Å
α = 90.00°, β = 90.00°, γ = 90.00°
Closest atoms and distances in Å follow each position.
Positions (direct):
1 S 0.0000 0.0000 0.5000  4 Mn 2.53
2 Mn 0.5000 0.5000 0.5000  4 S 2.53
3 N 0.0000 0.5000 0.0000  2 Cu 1.79
4 N 0.5000 0.0000 0.0000  2 Cu 1.79
5 Cu 0.0000 0.0000 0.0000  4 N 1.79



Entry 3:
# MnCuS2N

Crystalline MnCuS2N at its relaxed geometry (PBE, the Alexandria database).

Summary:
Space group ... No. 123
Offset from the most stable computed form ... 0 meV per atom
Uncorrected formation energy ... 419.2 meV per atom

a = 4.6661 Å, b = 4.6661 Å, c = 3.4298 Å
α = 90.00°, β = 90.00°, γ = 90.00°
Closest atoms and distances in Å follow each position.
Positions (direct):
1 S 0.0000 0.5000 0.0000  2 Mn 2.33
2 S 0.5000 0.0000 0.0000  2 Mn 2.33
3 N 0.0000 0.0000 0.5000  2 Mn 1.71
4 Cu 0.5000 0.5000 0.5000  8 S 2.90
5 Mn 0.0000 0.0000 0.0000  2 N 1.71



Entry 4:
# MnCuSN2

Crystalline MnCuSN2 at its relaxed geometry (PBE, the Alexandria database).

Summary:
Space group ... No. 123
Offset from the most stable computed form ... 0 meV per atom
Uncorrected formation energy ... 577.1 meV per atom

a = 3.5125 Å, b = 3.5125 Å, c = 5.1403 Å
α = 90.00°, β = 90.00°, γ = 90.00°
Closest atoms and distances in Å follow each position.
Positions (direct):
1 S 0.0000 0.0000 0.5000  4 Cu 2.48, 2 Mn 2.57
2 N 0.5000 0.0000 0.0000  2 Mn 1.76
3 N 0.0000 0.5000 0.0000  2 Mn 1.76
4 Cu 0.5000 0.5000 0.5000  4 S 2.48
5 Mn 0.0000 0.0000 0.0000  4 N 1.76



Entry 5:
# MnCuS2N

Crystalline MnCuS2N at its relaxed geometry (PBE, the Alexandria database).

Summary:
Space group ... No. 123
Offset from the most stable computed form ... 415 meV per atom
Uncorrected formation energy ... 834.0 meV per atom

a = 4.7040 Å, b = 4.7040 Å, c = 3.6149 Å
α = 90.00°, β = 90.00°, γ = 90.00°
Closest atoms and distances in Å follow each position.
Positions (direct):
1 Cu 0.0000 0.0000 0.0000  2 N 1.81
2 N 0.0000 0.0000 0.5000  2 Cu 1.81
3 S 0.0000 0.5000 0.0000  2 Cu 2.35
4 S 0.5000 0.0000 0.0000  2 Cu 2.35
5 Mn 0.5000 0.5000 0.5000  8 S 2.97



Entry 6:
# Sc2MnCuN

Crystalline Sc2MnCuN at its relaxed geometry (PBE, the Alexandria database).

Summary:
Space group ... No. 123
Offset from the most stable computed form ... 1777 meV per atom
Uncorrected formation energy ... 1065.2 meV per atom

a = 4.8144 Å, b = 4.3549 Å, c = 4.8144 Å
α = 90.00°, β = 90.00°, γ = 90.00°
Closest atoms and distances in Å follow each position.
Positions (direct):
1 Sc 0.5000 0.0000 0.0000  2 Cu 2.41
2 Sc 0.0000 0.0000 0.5000  2 Cu 2.41
3 Cu 0.0000 0.0000 0.0000  2 Mn 2.18, 4 Sc 2.41
4 Mn 0.0000 0.5000 0.0000  2 Cu 2.18
5 N 0.5000 0.5000 0.5000  8 Sc 3.25, 4 Mn 3.40



Entry 7:
# Sc2MnCuN

Crystalline Sc2MnCuN at its relaxed geometry (PBE, the Alexandria database).

Summary:
Space group ... No. 123
Offset from the most stable computed form ... 0 meV per atom
Uncorrected formation energy ... -711.5 meV per atom

a = 4.4739 Å, b = 4.4739 Å, c = 3.5966 Å
α = 90.00°, β = 90.00°, γ = 90.00°
Closest atoms and distances in Å follow each position.
Positions (direct):
1 Sc 0.0000 0.5000 0.0000  2 N 2.24
2 Sc 0.5000 0.0000 0.0000  2 N 2.24
3 Mn 0.0000 0.0000 0.5000  2 N 1.80
4 Cu 0.5000 0.5000 0.5000  8 Sc 2.87, 4 Mn 3.16
5 N 0.0000 0.0000 0.0000  2 Mn 1.80



Entry 8:
# MnCuSe2N

Crystalline MnCuSe2N at its relaxed geometry (PBE, the Alexandria database).

Summary:
Space group ... No. 123
Offset from the most stable computed form ... 0 meV per atom
Uncorrected formation energy ... 347.1 meV per atom

a = 4.9248 Å, b = 4.9248 Å, c = 3.4310 Å
α = 90.00°, β = 90.00°, γ = 90.00°
Closest atoms and distances in Å follow each position.
Positions (direct):
1 Cu 0.5000 0.5000 0.5000  8 Se 3.00
2 Mn 0.0000 0.0000 0.0000  2 N 1.72
3 Se 0.0000 0.5000 0.0000  2 Mn 2.46
4 Se 0.5000 0.0000 0.0000  2 Mn 2.46
5 N 0.0000 0.0000 0.5000  2 Mn 1.72



Quick rundown of DFT total energy, same order as above: -8.022; -5.504; -5.550; -6.232; -5.135; -5.786; -7.562; -5.365 eV/atom